VASP calculation (GGA-PBE) on a geometry-optimized SrTl2SbS4 structure.

SG = Imma (74)
formation energy without anion corrections = -67.1 kJ/mol of atoms
V = 26.80 A^3/atom

Cell lengths 8.465, 8.465, 8.465 Å; angles 121.20, 118.75, 90.06 degrees
Positions (direct):
Sr: 0.000 0.000 0.000
Sr: 0.500 0.000 0.500
Tl: 0.000 0.500 0.500
Tl: 0.500 0.000 0.000
Tl: 0.500 0.500 0.000
Tl: 0.500 0.500 0.500
Sb: 0.000 0.000 0.500
Sb: 0.000 0.500 0.000
S: 0.215 0.248 0.968
S: 0.220 0.752 0.468
S: 0.231 0.225 0.494
S: 0.231 0.737 0.006
S: 0.769 0.263 0.994
S: 0.769 0.775 0.506
S: 0.780 0.248 0.532
S: 0.785 0.752 0.032